Density functional theory data (PBE) for crystalline Dy3Pd2Pt3 at its relaxed geometry.

The structure in POSCAR format:
```
Dy3Pd2Pt3
1.0
8.3407 0.0000 0.0000
-4.1703 7.2232 0.0000
0.0000 0.0000 5.6701
Dy Pd Pt
6 4 6
direct
0.0000 0.3051 0.2500
0.0000 0.6949 0.7500
0.3051 0.0000 0.2500
0.3051 0.3051 0.7500
0.6949 0.0000 0.7500
0.6949 0.6949 0.2500
0.3333 0.6667 0.0000
0.3333 0.6667 0.5000
0.6667 0.3333 0.0000
0.6667 0.3333 0.5000
0.0000 0.3652 0.7500
0.0000 0.6348 0.2500
0.3652 0.0000 0.7500
0.3652 0.3652 0.2500
0.6348 0.0000 0.2500
0.6348 0.6348 0.7500
```

Output
Formation energy from the elements   -0.97 eV/atom